10
Lattice="5.5245 0.0000 0.0000 0.0000 5.5245 0.0000 0.0000 0.0000 3.8978" Properties=species:S:1:pos:R:3 comment="PBE with a Hubbard U Na2MoOsO6, relaxed" dos_ef_per_ev_cell=3.67 e_tot_ry_per_atom=-0.482 pbc="T T T"
Na 0.0000 2.7622 0.0000
Na 2.7622 0.0000 0.0000
Mo 0.0000 0.0000 1.9489
Os 2.7622 2.7622 1.9489
O 0.0000 0.0000 0.0000
O 1.3706 1.3706 1.9489
O 1.3706 4.1539 1.9489
O 2.7622 2.7622 0.0000
O 4.1539 1.3706 1.9489
O 4.1539 4.1539 1.9489